1.
K2AlRe | GGA-PBE | relaxed

Geometry as POSCAR:
```
K2AlRe
1.0
3.511 0.000 0.000
0.000 3.529 0.000
0.000 0.000 10.270
K Al Re
2 1 1
Cartesian
0.000 0.000 0.000
1.756 1.765 4.252
1.756 1.765 7.389
0.000 0.000 7.010
```

Properties
V, Å³ per cell: 127.3
Crystal system: orthorhombic
DFT formation energy, eV per atom: 0.6401
ρ, kg/m3: 3802
E, eV/atom: -3.956

---

2.
Na2TiIn | GGA-PBE | relaxed

Geometry as POSCAR:
```
Na2TiIn
1.0
-4.311 4.311 2.940
4.311 -4.311 2.940
4.311 4.311 -2.940
Na Ti In
4 2 2
Cartesian
6.466 2.061 -0.735
2.061 2.155 0.735
-2.155 2.250 2.205
2.250 2.155 3.675
4.311 0.000 1.470
0.000 0.000 2.940
0.000 0.000 0.000
0.000 4.311 1.470
```

Properties
V, Å³ per cell: 218.5
Crystal system: tetragonal
DFT formation energy, eV per atom: 0.5908
ρ, kg/m3: 3171
E, eV/atom: -2.727

---

3.
La2HfHgN | GGA-PBE | relaxed

Geometry as POSCAR:
```
La2HfHgN
1.0
5.335 0.000 0.000
0.000 5.335 0.000
0.000 0.000 4.269
La Hf Hg N
2 1 1 1
Cartesian
0.000 2.668 0.000
2.668 0.000 0.000
0.000 0.000 2.135
2.668 2.668 2.135
0.000 0.000 0.000
```

Properties
V, Å³ per cell: 121.5
Crystal system: tetragonal
ρ, kg/m3: 9167
E, eV/atom: -6.413
ΔE_f (raw), eV per formula unit: -3.63

---

4.
Zr2RhW | GGA-PBE | relaxed

Geometry as POSCAR:
```
Zr2RhW
1.0
2.969 -4.470 0.000
2.969 4.470 0.000
-1.068 0.000 2.753
Zr Rh W
2 1 1
Cartesian
1.484 2.235 0.000
1.484 -2.235 0.000
-0.534 0.000 1.377
2.435 0.000 1.377
```

Properties
V, Å³ per cell: 73.1
Crystal system: monoclinic
DFT formation energy, eV per atom: -0.0943
ρ, kg/m3: 10662
Energy above the lowest structure with this stoichiometry, meV per atom: 270
E, eV/atom: -9.445

---

5.
SiP2SN | GGA-PBE | relaxed

Geometry as POSCAR:
```
SiP2SN
1.0
4.548 0.000 0.000
0.000 4.548 0.000
0.000 0.000 4.474
Si P S N
1 2 1 1
Cartesian
0.000 0.000 0.000
0.000 2.274 0.000
2.274 0.000 0.000
0.000 0.000 2.237
2.274 2.274 2.237
```

Properties
V, Å³ per cell: 92.6
Crystal system: tetragonal
ρ, kg/m3: 2442
Energy above the lowest structure with this stoichiometry, meV per atom: 600
E, eV/atom: -4.066
ΔE_f (raw), eV per formula unit: 8.37